No. 1
Below is LiCr2Ni8 after structural relaxation, with properties calculated at the GGA-PBE level.

Summary:
* symmetry: C2/m

Lattice parameters (Å, degrees): 6.606 6.606 5.581 104.56 104.56 30.82
Sites, in units of the cell vectors:
Li 0.000 0.000 0.000
Cr 0.271 0.271 0.362
Cr 0.729 0.729 0.638
Ni 0.093 0.093 0.459
Ni 0.182 0.182 0.911
Ni 0.361 0.361 0.815
Ni 0.453 0.453 0.278
Ni 0.547 0.547 0.722
Ni 0.639 0.639 0.185
Ni 0.818 0.818 0.089
Ni 0.907 0.907 0.541

---

No. 2
Below is LiCrNi2 after structural relaxation, with properties calculated at the GGA-PBE level.

Summary:
* symmetry: P4/mmm

Lattice parameters (Å, degrees): 2.530 2.530 7.150 90.00 90.00 90.00
Sites, in units of the cell vectors:
Li 0.000 0.000 0.000
Cr 0.000 0.000 0.500
Ni 0.500 0.500 0.263
Ni 0.500 0.500 0.737

---

No. 3
Below is Li2CrNi after structural relaxation, with properties calculated at the GGA-PBE level.

Summary:
* symmetry: P4/mmm

Lattice parameters (Å, degrees): 2.367 2.367 8.605 90.00 90.00 90.00
Sites, in units of the cell vectors:
Li 0.000 0.000 0.232
Li 0.000 0.000 0.768
Cr 0.500 0.500 0.500
Ni 0.500 0.500 0.000

---

| no. | formation enthalpy at 0 K (meV/atom) |
| --- | --- |
| 1 | 16 |
| 2 | 37 |
| 3 | 315 |